The following is a DFT calculation (PBE) of an optimized crystal structure of Cu5Ag3.

Properties
For the energy above the most stable polymorph in this dataset, the calculation gives 0.380 eV/f.u. The total energy is -3.29 eV per atom. As for the volume: 114 Å³ per cell.

Lattice parameters (Å, degrees): 6.664 6.664 2.780 90.00 90.00 113.15
Sites, in units of the cell vectors:
Cu1 0.379 0.144 0.000
Cu2 0.144 0.379 0.000
Cu3 0.856 0.621 0.000
Cu4 0.500 0.500 0.500
Cu5 0.621 0.856 0.000
Ag1 0.750 0.250 0.500
Ag2 0.250 0.750 0.500
Ag3 0.000 0.000 0.500



The following is a DFT calculation (PBE) of an optimized crystal structure of Cu3Ag2.

Properties
For the energy above the most stable polymorph in this dataset, the calculation gives 0.308 eV/f.u. The total energy is -3.26 eV per atom. As for the volume: 143 Å³ per cell.

Lattice parameters (Å, degrees): 4.668 4.777 7.145 71.43 71.68 81.50
Sites, in units of the cell vectors:
Ag1 0.515 0.895 0.707
Ag2 0.500 0.500 0.500
Ag3 0.000 0.000 0.000
Ag4 0.485 0.105 0.293
Cu1 0.997 0.587 0.804
Cu2 0.498 0.311 0.901
Cu3 0.996 0.208 0.597
Cu4 0.003 0.413 0.196
Cu5 0.004 0.792 0.403
Cu6 0.502 0.689 0.099



The following is a DFT calculation (PBE) of an optimized crystal structure of Cu3Ag2.

Properties
For the energy above the most stable polymorph in this dataset, the calculation gives 0.227 eV/f.u. The total energy is -3.27 eV per atom. As for the volume: 143 Å³ per cell.

Lattice parameters (Å, degrees): 7.388 7.388 7.294 104.69 104.69 21.87
Sites, in units of the cell vectors:
Cu1 0.194 0.194 0.600
Cu2 0.598 0.598 0.787
Cu3 0.798 0.798 0.433
Cu4 0.001 0.001 0.522
Cu5 0.002 0.002 0.974
Cu6 0.409 0.409 0.689
Ag1 0.199 0.199 0.095
Ag2 0.595 0.595 0.306
Ag3 0.399 0.399 0.218
Ag4 0.806 0.806 0.876



The following is a DFT calculation (PBE) of an optimized crystal structure of Cu3Ag7.

Properties
For the energy above the most stable polymorph in this dataset, the calculation gives 0.392 eV/f.u. The total energy is -3.02 eV per atom. As for the volume: 162 Å³ per cell.

Lattice parameters (Å, degrees): 7.719 7.719 7.712 104.61 104.61 21.37
Sites, in units of the cell vectors:
Ag1 0.601 0.601 0.835
Ag2 0.599 0.599 0.263
Ag3 0.999 0.999 0.516
Ag4 0.193 0.193 0.592
Ag5 0.803 0.803 0.407
Ag6 0.799 0.799 0.893
Ag7 0.405 0.405 0.196
Cu1 0.988 0.988 0.980
Cu2 0.211 0.211 0.107
Cu3 0.402 0.402 0.712



The following is a DFT calculation (PBE) of an optimized crystal structure of CuAg.

Properties
The total energy is -3.20 eV per atom. As for the volume: 119 Å³ per cell.

Lattice parameters (Å, degrees): 2.831 5.748 7.319 90.00 90.00 90.00
Sites, in units of the cell vectors:
Cu1 0.000 0.500 0.266
Cu2 0.000 0.500 0.734
Cu3 0.500 0.285 0.500
Cu4 0.500 0.715 0.500
Ag1 0.000 0.000 0.281
Ag2 0.500 0.257 0.000
Ag3 0.500 0.743 0.000
Ag4 0.000 0.000 0.719



The following is a DFT calculation (PBE) of an optimized crystal structure of CuAg.

Properties
The total energy is -3.17 eV per atom. As for the volume: 150 Å³ per cell.

Lattice parameters (Å, degrees): 5.981 5.981 9.304 100.30 100.30 27.30
Sites, in units of the cell vectors:
Cu1 0.905 0.905 0.222
Cu2 0.310 0.310 0.405
Cu3 0.000 0.000 0.500
Cu4 0.095 0.095 0.778
Cu5 0.690 0.690 0.595
Ag1 0.604 0.604 0.314
Ag2 0.396 0.396 0.686
Ag3 0.500 0.500 0.000
Ag4 0.213 0.213 0.113
Ag5 0.787 0.787 0.887